Below is UFeRhO6 after structural relaxation, with properties calculated at the PBE+U level.

a b c (Å): 5.309 5.309 8.741
angles (deg): 90.00 90.00 120.00
Fractional positions:
O 0.007 0.672 0.372
U 0.667 0.333 0.250
O 0.328 0.993 0.128
O 0.993 0.666 0.872
Rh 0.000 0.000 0.000
O 0.672 0.666 0.628
O 0.007 0.334 0.128
O 0.328 0.334 0.372
Fe 0.333 0.667 0.250
U 0.333 0.667 0.750
O 0.334 0.007 0.628
O 0.666 0.672 0.128
Rh 0.000 0.000 0.500
Fe 0.667 0.333 0.750
O 0.666 0.993 0.372
O 0.993 0.328 0.628
O 0.672 0.007 0.872
O 0.334 0.328 0.872

* raw total energy: -141.4 eV/cell